The following is a DFT calculation (PBE) of a geometry-optimized PrErHgPt structure.

Properties
The total DFT energy (no corrections) comes out at -18.661 eV per formula unit. The value obtained for the calculated density is 11.906 Mg/m³.

Lattice parameters (Å, degrees): 7.323 7.323 7.323 90.00 90.00 90.00
Space group F-43m (No. 216)
Asymmetric unit:
Pr1 0.000 0.000 0.000 (multiplicity 4)
Er1 0.000 0.000 0.500 (multiplicity 4)
Hg1 0.250 0.250 0.250 (multiplicity 4)
Pt1 0.250 0.250 0.750 (multiplicity 4)